Arrangement one

Compound: SrCa2N2
Source: Alexandria via LeMat-Bulk
Functional: PBE
Structure: relaxed

Computed properties:
Theoretical density (Mg/m³): 4.10
Space-group type: P4/mbm
V (Å³/f.u.): 79.4

a b c (Å): 7.085 7.085 3.162
angles (deg): 90.00 90.00 90.00
Positions (direct):
Sr1 0.000 0.000 0.000
Sr2 0.500 0.500 0.000
Ca1 0.129 0.371 0.000
Ca2 0.371 0.871 0.000
Ca3 0.629 0.129 0.000
Ca4 0.871 0.629 0.000
N1 0.179 0.679 0.500
N2 0.321 0.179 0.500
N3 0.679 0.821 0.500
N4 0.821 0.321 0.500

***

Arrangement two

Compound: SrCa2N2
Source: Alexandria via LeMat-Bulk
Functional: PBE
Structure: relaxed

Computed properties:
Theoretical density (Mg/m³): 3.41
Space-group type: Pmmn
V (Å³/f.u.): 95.4

a b c (Å): 3.767 14.522 3.488
angles (deg): 90.00 90.00 90.00
Positions (direct):
Sr1 0.250 0.250 0.041
Sr2 0.750 0.750 0.959
Ca1 0.250 0.569 0.736
Ca2 0.250 0.931 0.736
Ca3 0.750 0.069 0.264
Ca4 0.750 0.431 0.264
N1 0.250 0.101 0.699
N2 0.250 0.399 0.699
N3 0.750 0.601 0.301
N4 0.750 0.899 0.301

***

The most stable of them is arrangement two.

***

Arrangement one

Compound: SrCa2N2
Source: Alexandria via LeMat-Bulk
Functional: PBE
Structure: relaxed

Computed properties:
Theoretical density (Mg/m³): 3.43
Space-group type: P-3m1
V (Å³/f.u.): 94.8

a b c (Å): 3.978 3.978 6.915
angles (deg): 90.00 90.00 120.00
Positions (direct):
Sr1 0.000 0.000 0.000
Ca1 0.333 0.667 0.350
Ca2 0.667 0.333 0.650
N1 0.333 0.667 0.746
N2 0.667 0.333 0.254

***

Arrangement two

Compound: SrCa2N2
Source: Alexandria via LeMat-Bulk
Functional: PBE
Structure: relaxed

Computed properties:
Theoretical density (Mg/m³): 3.11
Space-group type: I4/mmm
V (Å³/f.u.): 104.5

a b c (Å): 5.913 5.913 5.913
angles (deg): 134.20 134.20 66.77
Positions (direct):
Sr1 0.000 0.000 0.000
Ca1 0.313 0.313 0.000
Ca2 0.687 0.687 0.000
N1 0.250 0.750 0.500
N2 0.750 0.250 0.500

***

The most stable of them is arrangement one.

***

Arrangement one

Compound: SrCa3N
Source: Alexandria via LeMat-Bulk
Functional: PBE
Structure: relaxed

Computed properties:
Theoretical density (Mg/m³): 2.27
Space-group type: P2_1/c
V (Å³/f.u.): 162.3

a b c (Å): 11.212 6.591 8.877
angles (deg): 90.00 98.39 90.00
Positions (direct):
Sr1 0.076 0.173 0.188
Sr2 0.076 0.327 0.688
Sr3 0.924 0.673 0.312
Sr4 0.924 0.827 0.812
Ca1 0.242 0.654 0.065
Ca2 0.242 0.846 0.565
Ca3 0.362 0.087 0.950
Ca4 0.362 0.413 0.450
Ca5 0.454 0.569 0.825
Ca6 0.454 0.931 0.325
Ca7 0.546 0.069 0.675
Ca8 0.546 0.431 0.175
Ca9 0.638 0.587 0.550
Ca10 0.638 0.913 0.050
Ca11 0.758 0.154 0.435
Ca12 0.758 0.346 0.935
N1 0.444 0.737 0.565
N2 0.444 0.763 0.065
N3 0.556 0.237 0.935
N4 0.556 0.263 0.435

***

Arrangement two

Compound: SrCa3N
Source: Alexandria via LeMat-Bulk
Functional: PBE
Structure: relaxed

Computed properties:
Theoretical density (Mg/m³): 2.54
Space-group type: Pm-3m
V (Å³/f.u.): 145.1

a b c (Å): 5.255 5.255 5.255
angles (deg): 90.00 90.00 90.00
Positions (direct):
Sr1 0.000 0.000 0.000
Ca1 0.000 0.500 0.500
Ca2 0.500 0.000 0.500
Ca3 0.500 0.500 0.000
N1 0.500 0.500 0.500

***

Arrangement three

Compound: SrCa3N
Source: Alexandria via LeMat-Bulk
Functional: PBE
Structure: relaxed

Computed properties:
Theoretical density (Mg/m³): 1.43
Space-group type: Pm-3m
V (Å³/f.u.): 258.0

a b c (Å): 6.366 6.366 6.366
angles (deg): 90.00 90.00 90.00
Positions (direct):
Sr1 0.000 0.000 0.000
Ca1 0.000 0.000 0.500
Ca2 0.000 0.500 0.000
Ca3 0.500 0.000 0.000
N1 0.500 0.500 0.500

***

The most stable of them is arrangement one.

***

Arrangement one

Compound: Sr2Ca2N
Source: Alexandria via LeMat-Bulk
Functional: PBE
Structure: relaxed

Computed properties:
Theoretical density (Mg/m³): 2.60
Space-group type: I4/mmm
V (Å³/f.u.): 172.3

a b c (Å): 10.280 10.280 10.280
angles (deg): 156.52 156.52 33.45
Positions (direct):
Sr1 0.250 0.750 0.500
Sr2 0.750 0.250 0.500
Ca1 0.075 0.075 0.000
Ca2 0.925 0.925 0.000
N1 0.500 0.500 0.000

***

Arrangement two

Compound: Sr2Ca2N
Source: Alexandria via LeMat-Bulk
Functional: PBE
Structure: relaxed

Computed properties:
Theoretical density (Mg/m³): 2.54
Space-group type: P4/mbm
V (Å³/f.u.): 176.3

a b c (Å): 6.964 6.964 7.270
angles (deg): 90.00 90.00 90.00
Positions (direct):
Sr1 0.186 0.314 0.000
Sr2 0.314 0.814 0.000
Sr3 0.686 0.186 0.000
Sr4 0.814 0.686 0.000
Ca1 0.214 0.714 0.500
Ca2 0.286 0.214 0.500
Ca3 0.714 0.786 0.500
Ca4 0.786 0.286 0.500
N1 0.000 0.000 0.500
N2 0.500 0.500 0.500

***

The most stable of them is arrangement two.

***

Arrangement one

Compound: SrCaTeN2
Source: Alexandria via LeMat-Bulk
Functional: PBE
Structure: relaxed

Computed properties:
Theoretical density (Mg/m³): 3.40
Space-group type: P4/mmm
V (Å³/f.u.): 138.3

a b c (Å): 4.744 4.744 6.148
angles (deg): 90.00 90.00 90.00
Positions (direct):
Sr1 0.000 0.000 0.000
Ca1 0.500 0.500 0.500
Te1 0.500 0.500 0.000
N1 0.000 0.500 0.500
N2 0.500 0.000 0.500

***

Arrangement two

Compound: SrCaTeN2
Source: Alexandria via LeMat-Bulk
Functional: PBE
Structure: relaxed

Computed properties:
Theoretical density (Mg/m³): 3.13
Space-group type: P4/mmm
V (Å³/f.u.): 150.2

a b c (Å): 4.795 4.795 6.535
angles (deg): 90.00 90.00 90.00
Positions (direct):
Sr1 0.000 0.000 0.000
Ca1 0.500 0.500 0.500
Te1 0.000 0.000 0.500
N1 0.000 0.500 0.000
N2 0.500 0.000 0.000

***

The most stable of them is arrangement one.

***

Arrangement one

Compound: CaTaTe2N
Source: Alexandria via LeMat-Bulk
Functional: PBE
Structure: relaxed

Computed properties:
Theoretical density (Mg/m³): 6.49
Space-group type: P4/mmm
V (Å³/f.u.): 125.4

a b c (Å): 5.651 5.651 3.925
angles (deg): 90.00 90.00 90.00
Positions (direct):
Ca1 0.000 0.000 0.000
Ta1 0.500 0.500 0.500
Te1 0.000 0.500 0.000
Te2 0.500 0.000 0.000
N1 0.000 0.000 0.500

***

Arrangement two

Compound: CaTaTe2N
Source: Alexandria via LeMat-Bulk
Functional: PBE
Structure: relaxed

Computed properties:
Theoretical density (Mg/m³): 6.48
Space-group type: P4/mmm
V (Å³/f.u.): 125.6

a b c (Å): 5.635 5.635 3.956
angles (deg): 90.00 90.00 90.00
Positions (direct):
Ca1 0.000 0.000 0.000
Ta1 0.500 0.500 0.500
Te1 0.000 0.500 0.500
Te2 0.500 0.000 0.500
N1 0.500 0.500 0.000

***

The most stable of them is arrangement two.

***

Arrangement one

Compound: CaTc3N
Source: Alexandria via LeMat-Bulk
Functional: PBE
Structure: relaxed

Computed properties:
Theoretical density (Mg/m³): 5.84
Space-group type: Pm-3m
V (Å³/f.u.): 99.0

a b c (Å): 4.625 4.625 4.625
angles (deg): 90.00 90.00 90.00
Positions (direct):
Ca1 0.000 0.000 0.000
Tc1 0.000 0.000 0.500
Tc2 0.000 0.500 0.000
Tc3 0.500 0.000 0.000
N1 0.500 0.500 0.500

***

Arrangement two

Compound: CaTc3N
Source: Alexandria via LeMat-Bulk
Functional: PBE
Structure: relaxed

Computed properties:
Theoretical density (Mg/m³): 7.83
Space-group type: Pm-3m
V (Å³/f.u.): 73.8

a b c (Å): 4.194 4.194 4.194
angles (deg): 90.00 90.00 90.00
Positions (direct):
Ca1 0.000 0.000 0.000
Tc1 0.000 0.500 0.500
Tc2 0.500 0.000 0.500
Tc3 0.500 0.500 0.000
N1 0.500 0.500 0.500

***

The most stable of them is arrangement two.

***

Arrangement one

Compound: Ca3TcN3
Source: Alexandria via LeMat-Bulk
Functional: PBE
Structure: relaxed

Computed properties:
Theoretical density (Mg/m³): 3.83
Space-group type: Cmcm
V (Å³/f.u.): 112.8

a b c (Å): 6.729 6.729 5.070
angles (deg): 90.00 90.00 100.79
Positions (direct):
Ca1 0.106 0.894 0.750
Ca2 0.168 0.402 0.750
Ca3 0.402 0.168 0.250
Ca4 0.598 0.832 0.750
Ca5 0.832 0.598 0.250
Ca6 0.894 0.106 0.250
Tc1 0.311 0.689 0.250
Tc2 0.689 0.311 0.750
N1 0.124 0.876 0.250
N2 0.173 0.420 0.250
N3 0.420 0.173 0.750
N4 0.580 0.827 0.250
N5 0.827 0.580 0.750
N6 0.876 0.124 0.750

***

Arrangement two

Compound: Ca3TcN3
Source: Alexandria via LeMat-Bulk
Functional: PBE
Structure: relaxed

Computed properties:
Theoretical density (Mg/m³): 3.60
Space-group type: P6_3/m
V (Å³/f.u.): 120.2

a b c (Å): 7.436 7.436 5.019
angles (deg): 90.00 90.00 120.00
Positions (direct):
Ca1 0.101 0.744 0.250
Ca2 0.256 0.357 0.250
Ca3 0.357 0.101 0.750
Ca4 0.643 0.899 0.250
Ca5 0.744 0.643 0.750
Ca6 0.899 0.256 0.750
Tc1 0.333 0.667 0.750
Tc2 0.667 0.333 0.250
N1 0.111 0.719 0.750
N2 0.281 0.391 0.750
N3 0.391 0.111 0.250
N4 0.609 0.889 0.750
N5 0.719 0.609 0.250
N6 0.889 0.281 0.250

***

The most stable of them is arrangement one.

***

Arrangement one

Compound: CaTc2N2
Source: Alexandria via LeMat-Bulk
Functional: PBE
Structure: relaxed

Computed properties:
Theoretical density (Mg/m³): 6.20
Space-group type: I4/mmm
V (Å³/f.u.): 70.8

a b c (Å): 5.906 5.906 5.906
angles (deg): 144.00 144.00 51.83
Positions (direct):
Ca1 0.000 0.000 0.000
Tc1 0.250 0.750 0.500
Tc2 0.750 0.250 0.500
N1 0.354 0.354 0.000
N2 0.646 0.646 0.000

***

Arrangement two

Compound: CaTc2N2
Source: Alexandria via LeMat-Bulk
Functional: PBE
Structure: relaxed

Computed properties:
Theoretical density (Mg/m³): 7.01
Space-group type: P4/mbm
V (Å³/f.u.): 62.5

a b c (Å): 6.604 6.604 2.868
angles (deg): 90.00 90.00 90.00
Positions (direct):
Ca1 0.000 0.000 0.000
Ca2 0.500 0.500 0.000
Tc1 0.128 0.372 0.500
Tc2 0.372 0.872 0.500
Tc3 0.628 0.128 0.500
Tc4 0.872 0.628 0.500
N1 0.133 0.633 0.000
N2 0.367 0.133 0.000
N3 0.633 0.867 0.000
N4 0.867 0.367 0.000

***

The most stable of them is arrangement one.

***

Arrangement one

Compound: CaTcTe2N
Source: Alexandria via LeMat-Bulk
Functional: PBE
Structure: relaxed

Computed properties:
Theoretical density (Mg/m³): 5.80
Space-group type: P4/mmm
V (Å³/f.u.): 116.7

a b c (Å): 5.577 5.577 3.752
angles (deg): 90.00 90.00 90.00
Positions (direct):
Ca1 0.000 0.000 0.000
Tc1 0.500 0.500 0.500
Te1 0.000 0.500 0.500
Te2 0.500 0.000 0.500
N1 0.500 0.500 0.000

***

Arrangement two

Compound: CaTcTe2N
Source: Alexandria via LeMat-Bulk
Functional: PBE
Structure: relaxed

Computed properties:
Theoretical density (Mg/m³): 6.56
Space-group type: P4/mmm
V (Å³/f.u.): 103.0

a b c (Å): 4.825 4.825 4.424
angles (deg): 90.00 90.00 90.00
Positions (direct):
Ca1 0.000 0.000 0.000
Tc1 0.500 0.500 0.000
Te1 0.000 0.500 0.500
Te2 0.500 0.000 0.500
N1 0.000 0.000 0.500

***

Arrangement three

Compound: CaTcTe2N
Source: Alexandria via LeMat-Bulk
Functional: PBE
Structure: relaxed

Computed properties:
Theoretical density (Mg/m³): 4.52
Space-group type: P4/mmm
V (Å³/f.u.): 149.6

a b c (Å): 5.855 5.855 4.365
angles (deg): 90.00 90.00 90.00
Positions (direct):
Ca1 0.000 0.000 0.000
Tc1 0.500 0.500 0.500
Te1 0.000 0.500 0.000
Te2 0.500 0.000 0.000
N1 0.000 0.000 0.500

***

The most stable of them is arrangement one.

***

Arrangement one

Compound: CaTcTeN2
Source: Alexandria via LeMat-Bulk
Functional: PBE
Structure: relaxed

Computed properties:
Theoretical density (Mg/m³): 3.89
Space-group type: P4/mmm
V (Å³/f.u.): 125.4

a b c (Å): 4.412 4.412 6.441
angles (deg): 90.00 90.00 90.00
Positions (direct):
Ca1 0.000 0.000 0.000
Tc1 0.500 0.500 0.500
Te1 0.000 0.000 0.500
N1 0.000 0.500 0.000
N2 0.500 0.000 0.000

***

Arrangement two

Compound: CaTcTeN2
Source: Alexandria via LeMat-Bulk
Functional: PBE
Structure: relaxed

Computed properties:
Theoretical density (Mg/m³): 5.30
Space-group type: P4/mmm
V (Å³/f.u.): 92.0

a b c (Å): 4.017 4.017 5.700
angles (deg): 90.00 90.00 90.00
Positions (direct):
Ca1 0.000 0.000 0.000
Tc1 0.500 0.500 0.500
Te1 0.500 0.500 0.000
N1 0.000 0.500 0.500
N2 0.500 0.000 0.500

***

The most stable of them is arrangement two.

***

Arrangement one

Compound: Ca2TlTcN
Source: Alexandria via LeMat-Bulk
Functional: PBE
Structure: relaxed

Computed properties:
Theoretical density (Mg/m³): 5.12
Space-group type: P4/mmm
V (Å³/f.u.): 128.7

a b c (Å): 5.811 5.811 3.812
angles (deg): 90.00 90.00 90.00
Positions (direct):
Ca1 0.000 0.500 0.000
Ca2 0.500 0.000 0.000
Tl1 0.000 0.000 0.500
Tc1 0.500 0.500 0.000
N1 0.500 0.500 0.500

***

Arrangement two

Compound: Ca2TlTcN
Source: Alexandria via LeMat-Bulk
Functional: PBE
Structure: relaxed

Computed properties:
Theoretical density (Mg/m³): 6.50
Space-group type: P4/mmm
V (Å³/f.u.): 101.3

a b c (Å): 5.078 5.078 3.928
angles (deg): 90.00 90.00 90.00
Positions (direct):
Ca1 0.000 0.500 0.000
Ca2 0.500 0.000 0.000
Tl1 0.000 0.000 0.500
Tc1 0.500 0.500 0.500
N1 0.500 0.500 0.000

***

The most stable of them is arrangement two.